No. 1
A plane-wave DFT calculation with GGA-PBE was carried out for a geometry-optimized Ag2Bi2Se structure.

Cell and atoms, written as POSCAR:
```
Ag2Bi2Se
1.0
8.280 0.000 0.000
0.000 8.280 0.000
0.000 0.000 3.763
Se Ag Bi
2 4 4
Direct
0.000 0.000 0.000
0.500 0.500 0.000
0.882 0.382 0.500
0.118 0.618 0.500
0.618 0.882 0.500
0.382 0.118 0.500
0.687 0.187 0.000
0.187 0.313 0.000
0.313 0.813 0.000
0.813 0.687 0.000
```

Summary:
Formation energy from raw total energies, eV/atom: 0.14
Energy relative to the lowest polymorph listed for this composition, meV/atom: 17.0
Density of states at the Fermi level, states/eV per atom: 0.53

=====

No. 2
A plane-wave DFT calculation with GGA-PBE was carried out for a geometry-optimized TlP2Ru structure.

Cell and atoms, written as POSCAR:
```
TlP2Ru
1.0
2.937 0.000 0.000
0.000 2.937 0.000
0.000 0.000 8.798
P Tl Ru
2 1 1
Direct
0.000 0.000 0.416
0.000 0.000 0.084
0.500 0.500 0.750
0.500 0.500 0.250
```

Summary:
Energy relative to the lowest polymorph listed for this composition, meV/atom: 77.0
Density of states at the Fermi level, states/eV per atom: 0.78

=====

No. 3
A plane-wave DFT calculation with GGA-PBE was carried out for a geometry-optimized AcMgAlCu2 structure.

Cell and atoms, written as POSCAR:
```
AcMgAlCu2
1.0
-3.332 -2.620 -0.117
0.712 -1.085 4.037
-2.177 6.208 -0.175
Al Mg Ac Cu
1 1 1 2
Direct
0.750 0.250 0.500
0.250 0.750 0.500
0.000 0.000 0.000
0.612 0.612 0.224
0.388 0.388 0.776
```

Summary:
Density of states at the Fermi level, states/eV per atom: 0.67
Energy, Ha/atom: -0.1381

=====

No. 4
A plane-wave DFT calculation with GGA-PBE was carried out for a geometry-optimized InPd4Se8 structure.

Cell and atoms, written as POSCAR:
```
InPd4Se8
1.0
1.685 4.608 5.896
6.828 -0.533 3.455
5.180 5.591 -0.860
Se Pd In
8 4 1
Direct
0.175 0.608 0.608
0.608 0.175 0.608
0.589 0.137 0.137
0.137 0.589 0.137
0.608 0.608 0.175
0.137 0.137 0.137
0.608 0.608 0.608
0.137 0.137 0.589
0.369 0.892 0.369
0.892 0.369 0.369
0.369 0.369 0.369
0.369 0.369 0.892
0.750 0.750 0.750
```

Summary:
Formation energy from raw total energies, eV/atom: -0.27
Density of states at the Fermi level, states/eV per atom: 0.77

=====

No. 5
A plane-wave DFT calculation with GGA-PBE was carried out for a geometry-optimized SmLuBeAl structure.

Cell and atoms, written as POSCAR:
```
SmLuBeAl
1.0
-0.151 3.780 -3.243
-3.997 0.630 -2.908
-3.076 3.839 0.791
Lu Sm Be Al
1 1 1 1
Direct
0.250 0.250 0.250
0.750 0.750 0.750
0.500 0.500 0.500
0.000 0.000 0.000
```

Summary:
Density of states at the Fermi level, states/eV per atom: 0.75
Energy, Ha/atom: -0.1574

=====

No. 6
A plane-wave DFT calculation with GGA-PBE was carried out for a geometry-optimized GaFeMoIr structure.

Cell and atoms, written as POSCAR:
```
GaFeMoIr
1.0
-2.007 -3.129 -2.159
1.585 -1.384 -3.748
1.777 -3.905 -0.272
Fe Ir Mo Ga
1 1 1 1
Direct
0.750 0.750 0.750
0.000 0.000 0.000
0.500 0.500 0.500
0.250 0.250 0.250
```

Summary:
Density of states at the Fermi level, states/eV per atom: 0.50
Energy, Ha/atom: -0.2912